Here is Cs2NbCl7 after structural relaxation from Alexandria via LeMat-Bulk. Energies are from GGA-PBE.

```
10
Lattice="8.025 0.000 0.000 0.000 8.025 0.000 4.013 4.013 5.675" Properties=species:S:1:pos:R:3 pbc="T T T"
Cl 1.692 6.333 0.000
Cl 8.025 8.025 2.393
Cl 4.013 4.013 0.000
Cl 4.013 4.013 3.282
Cl 1.692 1.692 0.000
Cl 6.333 6.333 0.000
Cl 6.333 1.692 0.000
Cs 8.025 4.013 2.838
Cs 4.013 8.025 2.838
Nb 0.000 0.000 0.000
```

Values from the calculation:
For the formation energy from raw total energies, the calculation gives -1.444 eV per atom. For the total magnetization, the calculation gives 0.00 μB per formula unit. The calculation puts the calculated volume at 36.6 Å³/atom. Its energy above the lowest structure with this stoichiometry is 0.0571 eV/atom.